(1)
Crystalline NaTmSb2 at its relaxed geometry. Source: Alexandria, functional GGA-PBE.

Lattice parameters (Å, degrees): 6.7503 6.7503 6.7503 41.09 41.09 41.09
Closest atoms and distances in Å follow each position.
Positions (direct):
Na 0.0000 0.0000 0.0000  6 Sb 3.05-3.24, 1 Tm 3.34
Tm 0.1804 0.1804 0.1804  6 Sb 3.12-3.17, 1 Na 3.34
Sb 0.5943 0.5943 0.5943  3 Na 3.05, 1 Sb 3.08, 3 Tm 3.12
Sb 0.7607 0.7607 0.7607  1 Sb 3.08, 3 Tm 3.17, 3 Na 3.24

## Properties
Energy (Ry/atom): -0.2969
Calculated volume (Å³/atom): 29.99
Space group: R3m
Offset from the most stable computed form (eV/atom): 0.028
ΔE_f (raw) (meV/atom): -531

=====

(2)
Crystalline NaUSb at its relaxed geometry. Source: Alexandria, functional GGA-PBE.

Lattice parameters (Å, degrees): 12.8779 12.8779 12.8779 17.93 17.93 17.93
Closest atoms and distances in Å follow each position.
Positions (direct):
Na 0.1258 0.1258 0.1258  3 Sb 3.17
Na 0.8742 0.8742 0.8742  3 Sb 3.17
U 0.3177 0.3177 0.3177  3 U 2.60
U 0.6823 0.6823 0.6823  3 U 2.60
Sb 0.4023 0.4023 0.4023  4 U 3.08-3.22, 3 Na 3.17
Sb 0.5977 0.5977 0.5977  4 U 3.08-3.22, 3 Na 3.17

## Properties
Energy (Ry/atom): -0.4142
Calculated volume (Å³/atom): 29.45
Space group: R-3m
ΔE_f (raw) (meV/atom): -59

=====

(3)
Crystalline NaV2Sb2 at its relaxed geometry. Source: Alexandria, functional GGA-PBE.

Lattice parameters (Å, degrees): 7.9226 7.9226 3.2316 90.00 90.00 90.00
Closest atoms and distances in Å follow each position.
Positions (direct):
Na 0.0000 0.0000 0.0000  2 Na 3.23, 4 V 3.25, 8 Sb 3.34
Na 0.5000 0.5000 0.0000  2 Na 3.23, 4 V 3.25, 8 Sb 3.34
V 0.1022 0.3978 0.0000  1 V 2.29
V 0.3978 0.8978 0.0000  1 V 2.29
V 0.6022 0.1022 0.0000  1 V 2.29
V 0.8978 0.6022 0.0000  1 V 2.29
Sb 0.1765 0.6765 0.5000  6 V 2.80-2.96
Sb 0.3235 0.1765 0.5000  6 V 2.80-2.96
Sb 0.6765 0.8235 0.5000  6 V 2.80-2.96
Sb 0.8235 0.3235 0.5000  6 V 2.80-2.96

## Properties
Energy (Ry/atom): -0.4049
Calculated volume (Å³/atom): 20.28
Space group: P4/mbm
Offset from the most stable computed form (eV/atom): 0.063
ΔE_f (raw) (meV/atom): 52

=====

(4)
Crystalline NaV2Sb2 at its relaxed geometry. Source: Alexandria, functional GGA-PBE.

Lattice parameters (Å, degrees): 8.0252 8.0252 3.2209 90.00 90.00 90.00
Closest atoms and distances in Å follow each position.
Positions (direct):
Na 0.0000 0.0000 0.0000  4 Sb 2.97, 2 Na 3.22
Na 0.5000 0.5000 0.0000  4 Sb 2.97, 2 Na 3.22
V 0.1027 0.3973 0.5000  1 V 2.33
V 0.3973 0.8973 0.5000  1 V 2.33
V 0.6027 0.1027 0.5000  1 V 2.33
V 0.8973 0.6027 0.5000  1 V 2.33
Sb 0.1722 0.6722 0.0000  6 V 2.79-3.02, 2 Na 2.97
Sb 0.3278 0.1722 0.0000  6 V 2.79-3.02, 2 Na 2.97
Sb 0.6722 0.8278 0.0000  6 V 2.79-3.02, 2 Na 2.97
Sb 0.8278 0.3278 0.0000  6 V 2.79-3.02, 2 Na 2.97

## Properties
Energy (Ry/atom): -0.4020
Calculated volume (Å³/atom): 20.74
Space group: P4/mbm
Offset from the most stable computed form (eV/atom): 0.103
ΔE_f (raw) (meV/atom): 91